i) VASP calculation (GGA-PBE) on a relaxed PIrRuO2 crystal.

a = 3.6634 Å, b = 3.6634 Å, c = 5.7710 Å
α = 90.00°, β = 90.00°, γ = 90.00°
Space group P4/mmm (No. 123)
Inequivalent atoms, fractional coordinates:
P1 0.0000 0.0000 0.0000 x1
Ir1 0.0000 0.0000 0.5000 x1
Ru1 0.5000 0.5000 0.0000 x1
O1 0.0000 0.5000 0.5000 x2

## Properties
For the density of states at the Fermi level, the calculation gives 0.640 states/eV per atom.

---

ii) VASP calculation (GGA-PBE) on a relaxed PIrRuO2 crystal.

a = 3.6157 Å, b = 3.6157 Å, c = 5.8119 Å
α = 90.00°, β = 90.00°, γ = 90.00°
Space group P4/mmm (No. 123)
Inequivalent atoms, fractional coordinates:
P1 0.0000 0.0000 0.0000 x1
Ir1 0.5000 0.5000 0.0000 x1
Ru1 0.0000 0.0000 0.5000 x1
O1 0.0000 0.5000 0.5000 x2

## Properties
For the density of states at the Fermi level, the calculation gives 1.182 states/eV per atom.

---

ii) ends up most stable, edging out the next structure by 125 meV per atom.

---

i) VASP calculation (GGA-PBE) on a relaxed ScPIrO2 crystal.

a = 3.8468 Å, b = 3.8468 Å, c = 5.0248 Å
α = 90.00°, β = 90.00°, γ = 90.00°
Space group P4/mmm (No. 123)
Inequivalent atoms, fractional coordinates:
Sc1 0.0000 0.0000 0.0000 x1
P1 0.5000 0.5000 0.0000 x1
Ir1 0.5000 0.5000 0.5000 x1
O1 0.0000 0.5000 0.5000 x2

## Properties
For the density of states at the Fermi level, the calculation gives 0.352 states/eV per atom.

---

ii) VASP calculation (GGA-PBE) on a relaxed ScPIrO2 crystal.

a = 3.7896 Å, b = 3.7896 Å, c = 6.1916 Å
α = 90.00°, β = 90.00°, γ = 90.00°
Space group P4/mmm (No. 123)
Inequivalent atoms, fractional coordinates:
Sc1 0.0000 0.0000 0.0000 x1
P1 0.0000 0.0000 0.5000 x1
Ir1 0.5000 0.5000 0.5000 x1
O1 0.0000 0.5000 0.0000 x2

## Properties
For the density of states at the Fermi level, the calculation gives 0.824 states/eV per atom.

---

i) ends up most stable, edging out the next structure by 266 meV per atom.

---

i) VASP calculation (GGA-PBE) on a relaxed P2IrSeO crystal.

a = 4.7982 Å, b = 4.7982 Å, c = 3.7303 Å
α = 90.00°, β = 90.00°, γ = 90.00°
Space group P4/mmm (No. 123)
Inequivalent atoms, fractional coordinates:
P1 0.0000 0.5000 0.0000 x2
Ir1 0.0000 0.0000 0.0000 x1
Se1 0.5000 0.5000 0.5000 x1
O1 0.0000 0.0000 0.5000 x1

## Properties
For the density of states at the Fermi level, the calculation gives 0.859 states/eV per atom.

---

ii) VASP calculation (GGA-PBE) on a relaxed P2IrSeO crystal.

a = 4.7214 Å, b = 4.7214 Å, c = 3.5011 Å
α = 90.00°, β = 90.00°, γ = 90.00°
Space group P4/mmm (No. 123)
Inequivalent atoms, fractional coordinates:
P1 0.0000 0.5000 0.0000 x2
Ir1 0.0000 0.0000 0.5000 x1
Se1 0.5000 0.5000 0.0000 x1
O1 0.5000 0.5000 0.5000 x1

## Properties
For the density of states at the Fermi level, the calculation gives 0.858 states/eV per atom.

---

i) ends up most stable, edging out the next structure by 606 meV per atom.

---

i) VASP calculation (GGA-PBE) on a relaxed SiP2IrO crystal.

a = 4.8144 Å, b = 4.8144 Å, c = 3.6710 Å
α = 90.00°, β = 90.00°, γ = 90.00°
Space group P4/mmm (No. 123)
Inequivalent atoms, fractional coordinates:
Si1 0.0000 0.0000 0.0000 x1
P1 0.0000 0.5000 0.5000 x2
Ir1 0.5000 0.5000 0.5000 x1
O1 0.5000 0.5000 0.0000 x1

## Properties
For the density of states at the Fermi level, the calculation gives 1.038 states/eV per atom.

---

ii) VASP calculation (GGA-PBE) on a relaxed SiP2IrO crystal.

a = 4.6517 Å, b = 4.6517 Å, c = 3.1862 Å
α = 90.00°, β = 90.00°, γ = 90.00°
Space group P4/mmm (No. 123)
Inequivalent atoms, fractional coordinates:
Si1 0.0000 0.0000 0.0000 x1
P1 0.0000 0.5000 0.0000 x2
Ir1 0.5000 0.5000 0.5000 x1
O1 0.0000 0.0000 0.5000 x1

## Properties
For the density of states at the Fermi level, the calculation gives 0.618 states/eV per atom.

---

ii) ends up most stable, edging out the next structure by 448 meV per atom.

---

i) VASP calculation (GGA-PBE) on a relaxed SnP2IrO crystal.

a = 5.0181 Å, b = 5.0181 Å, c = 3.7699 Å
α = 90.00°, β = 90.00°, γ = 90.00°
Space group P4/mmm (No. 123)
Inequivalent atoms, fractional coordinates:
Sn1 0.0000 0.0000 0.0000 x1
P1 0.0000 0.5000 0.0000 x2
Ir1 0.5000 0.5000 0.5000 x1
O1 0.0000 0.0000 0.5000 x1

## Properties
For the density of states at the Fermi level, the calculation gives 1.158 states/eV per atom.

---

ii) VASP calculation (GGA-PBE) on a relaxed SnP2IrO crystal.

a = 4.9175 Å, b = 4.9175 Å, c = 3.7197 Å
α = 90.00°, β = 90.00°, γ = 90.00°
Space group P4/mmm (No. 123)
Inequivalent atoms, fractional coordinates:
Sn1 0.0000 0.0000 0.0000 x1
P1 0.0000 0.5000 0.5000 x2
Ir1 0.5000 0.5000 0.5000 x1
O1 0.5000 0.5000 0.0000 x1

## Properties
For the density of states at the Fermi level, the calculation gives 0.998 states/eV per atom.

---

ii) ends up most stable, edging out the next structure by 886 meV per atom.

---

i) VASP calculation (GGA-PBE) on a relaxed SnPIrO2 crystal.

a = 3.9052 Å, b = 3.9052 Å, c = 5.0389 Å
α = 90.00°, β = 90.00°, γ = 90.00°
Space group P4/mmm (No. 123)
Inequivalent atoms, fractional coordinates:
Sn1 0.0000 0.0000 0.0000 x1
P1 0.5000 0.5000 0.0000 x1
Ir1 0.5000 0.5000 0.5000 x1
O1 0.0000 0.5000 0.5000 x2

## Properties
For the density of states at the Fermi level, the calculation gives 0.431 states/eV per atom.

---

ii) VASP calculation (GGA-PBE) on a relaxed SnPIrO2 crystal.

a = 3.7325 Å, b = 3.7325 Å, c = 7.2143 Å
α = 90.00°, β = 90.00°, γ = 90.00°
Space group P4/mmm (No. 123)
Inequivalent atoms, fractional coordinates:
Sn1 0.0000 0.0000 0.0000 x1
P1 0.0000 0.0000 0.5000 x1
Ir1 0.5000 0.5000 0.5000 x1
O1 0.0000 0.5000 0.0000 x2

## Properties
For the density of states at the Fermi level, the calculation gives 1.076 states/eV per atom.

---

i) ends up most stable, edging out the next structure by 457 meV per atom.

---

i) VASP calculation (GGA-PBE) on a relaxed SrPIrO2 crystal.

a = 4.1263 Å, b = 4.1263 Å, c = 4.6841 Å
α = 90.00°, β = 90.00°, γ = 90.00°
Space group P4/mmm (No. 123)
Inequivalent atoms, fractional coordinates:
Sr1 0.0000 0.0000 0.0000 x1
P1 0.5000 0.5000 0.0000 x1
Ir1 0.5000 0.5000 0.5000 x1
O1 0.0000 0.5000 0.5000 x2

## Properties
For the density of states at the Fermi level, the calculation gives 1.054 states/eV per atom.

---

ii) VASP calculation (GGA-PBE) on a relaxed SrPIrO2 crystal.

a = 3.9817 Å, b = 3.9817 Å, c = 7.1932 Å
α = 90.00°, β = 90.00°, γ = 90.00°
Space group P4/mmm (No. 123)
Inequivalent atoms, fractional coordinates:
Sr1 0.0000 0.0000 0.0000 x1
P1 0.0000 0.0000 0.5000 x1
Ir1 0.5000 0.5000 0.5000 x1
O1 0.0000 0.5000 0.0000 x2

## Properties
For the density of states at the Fermi level, the calculation gives 1.059 states/eV per atom.

---

i) ends up most stable, edging out the next structure by 1516 meV per atom.

---

i) VASP calculation (GGA-PBE) on a relaxed TaP2IrO crystal.

a = 4.8880 Å, b = 4.8880 Å, c = 3.7367 Å
α = 90.00°, β = 90.00°, γ = 90.00°
Space group P4/mmm (No. 123)
Inequivalent atoms, fractional coordinates:
Ta1 0.0000 0.0000 0.0000 x1
P1 0.0000 0.5000 0.0000 x2
Ir1 0.5000 0.5000 0.5000 x1
O1 0.0000 0.0000 0.5000 x1

## Properties
For the density of states at the Fermi level, the calculation gives 0.920 states/eV per atom.

---

ii) VASP calculation (GGA-PBE) on a relaxed TaP2IrO crystal.

a = 4.7742 Å, b = 4.7742 Å, c = 3.6205 Å
α = 90.00°, β = 90.00°, γ = 90.00°
Space group P4/mmm (No. 123)
Inequivalent atoms, fractional coordinates:
Ta1 0.0000 0.0000 0.0000 x1
P1 0.0000 0.5000 0.5000 x2
Ir1 0.5000 0.5000 0.5000 x1
O1 0.5000 0.5000 0.0000 x1

## Properties
For the density of states at the Fermi level, the calculation gives 0.889 states/eV per atom.

---

i) ends up most stable, edging out the next structure by 301 meV per atom.